Entry from OQMD: an optimized crystal structure of KTaCdTe3 (PBE).

The value obtained for the energy is -4.18 eV per atom.

It has space group Cmcm (No. 63), with a = 4.1439 Å, b = 16.1379 Å, c = 11.0950 Å, α = 90.00°, β = 90.00° and γ = 90.00°. Symmetry generates all atoms from K at (0.0000, 0.2384, 0.2500), Ta at (0.0000, 0.0000, 0.0000), Cd at (0.0000, 0.4573, 0.7500), Te at (0.0000, 0.0755, 0.7500) and Te at (0.0000, 0.3743, 0.5300).